Entry 1:
Computed, not measured: DyZnAgHg after structural relaxation at the PBE level of DFT.

POSCAR file:
```
DyZnAgHg
1.0
4.8877 0.0000 0.0000
2.4439 4.2329 0.0000
2.4439 1.4110 3.9908
Dy Ag Zn Hg
1 1 1 1
Direct
0.7500 0.7500 0.7500
0.2500 0.2500 0.2500
0.5000 0.5000 0.5000
0.0000 0.0000 0.0000
```

Its energy of formation is -0.2899 eV/atom. Its spin magnetization is 0.000 μB per atom. For the total energy, the calculation gives -10.2 eV/cell.

Entry 2:
Computed, not measured: DyZrAgHg after structural relaxation at the PBE level of DFT.

POSCAR file:
```
DyZrAgHg
1.0
-2.2195 4.5484 -0.2347
-5.0345 0.3417 -0.4543
-2.7876 1.6622 3.8904
Zr Ag Hg Dy
1 1 1 1
Direct
0.5000 0.5000 0.5000
0.2500 0.2500 0.2500
0.7500 0.7500 0.7500
0.0000 0.0000 0.0000
```

Its energy of formation is -0.1792 eV/atom. Its spin magnetization is 0.279 μB per atom. For the total energy, the calculation gives -17.0 eV/cell.

Entry 3:
Computed, not measured: DyHoAg4 after structural relaxation at the PBE level of DFT.

POSCAR file:
```
DyHoAg4
1.0
-1.8284 1.8974 -2.6086
4.0391 -2.7167 -2.1711
-3.7877 -5.2692 -3.8216
Ag Ho Dy
4 1 1
Direct
0.8349 0.5003 0.3338
0.1677 0.4943 0.6624
0.3368 0.0021 0.8317
0.6658 0.9925 0.1645
0.0013 0.9973 0.4982
0.5013 0.4973 0.9982
```

Its energy of formation is -0.3171 eV/atom. The value obtained for the excess energy over the best structure of this formula in the dataset is 0 meV per atom. Its spin magnetization is 0.000 μB per atom. For the total energy, the calculation gives -22.5 eV/cell.

Entry 4:
Computed, not measured: Dy4HoAg after structural relaxation at the PBE level of DFT.

POSCAR file:
```
Dy4HoAg
1.0
-1.4545 3.0070 -1.1688
-1.7524 -1.8129 -2.4831
-10.6497 -1.7368 8.7833
Dy Ag Ho
4 1 1
Direct
0.0000 0.0000 0.6383
0.5000 0.5000 0.8212
0.0000 0.0000 0.3617
0.5000 0.5000 0.1788
0.5000 0.5000 0.5000
0.0000 0.0000 0.0000
```

Its energy of formation is -0.0800 eV/atom. The value obtained for the excess energy over the best structure of this formula in the dataset is 0 meV per atom. Its spin magnetization is 0.000 μB per atom. For the total energy, the calculation gives -26.3 eV/cell.

Entry 5:
Computed, not measured: DyHo5Ag4 after structural relaxation at the PBE level of DFT.

POSCAR file:
```
DyHo5Ag4
1.0
-1.9915 2.9578 -0.4308
-2.9323 -1.8330 0.9703
3.1606 4.8550 18.7241
Ag Ho Dy
4 5 1
Direct
0.0000 0.0000 0.2188
0.0000 0.0000 0.5934
0.0000 0.0000 0.7812
0.0000 0.0000 0.4066
0.5000 0.5000 0.1255
0.5000 0.5000 0.6880
0.5000 0.5000 0.8745
0.5000 0.5000 0.3120
0.5000 0.5000 0.5000
0.0000 0.0000 0.0000
```

Its energy of formation is -0.2520 eV/atom. Its spin magnetization is 0.000 μB per atom. For the total energy, the calculation gives -41.4 eV/cell.

Entry 6:
Computed, not measured: Dy3Ho4Ag after structural relaxation at the PBE level of DFT.

POSCAR file:
```
Dy3Ho4Ag
1.0
-0.1270 3.0626 1.7545
-1.7843 1.4591 -2.6761
-16.2900 -5.2557 7.9956
Dy Ho Ag
3 4 1
Direct
0.5000 0.5000 0.2356
0.5000 0.5000 0.5000
0.5000 0.5000 0.7644
0.0000 0.0000 0.8990
0.0000 0.0000 0.1010
0.0000 0.0000 0.3673
0.0000 0.0000 0.6327
0.5000 0.5000 0.0000
```

Its energy of formation is -0.0576 eV/atom. Its spin magnetization is 0.000 μB per atom. For the total energy, the calculation gives -35.4 eV/cell.

Entry 7:
Computed, not measured: DyHo3Ag2 after structural relaxation at the PBE level of DFT.

POSCAR file:
```
DyHo3Ag2
1.0
7.0222 0.0000 0.0000
0.0000 7.3687 0.0000
-3.5111 -3.6844 6.9568
Ho Ag Dy
6 4 2
Direct
0.5000 0.2500 0.0000
0.7716 0.0216 0.5431
0.2284 0.9784 0.4569
0.7716 0.5216 0.5431
0.5000 0.7500 0.0000
0.2284 0.4784 0.4569
0.8429 0.1423 0.2845
0.5584 0.3577 0.7155
0.1571 0.8577 0.7155
0.4416 0.6423 0.2845
0.0000 0.0000 0.0000
0.0000 0.5000 0.0000
```

Its energy of formation is 0.0304 eV/atom. The value obtained for the excess energy over the best structure of this formula in the dataset is 233 meV per atom. Its spin magnetization is 0.000 μB per atom. For the total energy, the calculation gives -47.7 eV/cell.

Entry 8:
Computed, not measured: Dy6HoAg after structural relaxation at the PBE level of DFT.

POSCAR file:
```
Dy6HoAg
1.0
-0.5096 5.6378 -7.3311
-6.6284 4.9376 -1.5915
-0.5095 6.1417 -1.0949
Dy Ag Ho
6 1 1
Direct
0.7620 0.9557 0.7129
0.0444 0.4308 0.7629
0.4309 0.7619 0.8518
0.5691 0.2381 0.1482
0.2380 0.0443 0.2871
0.9556 0.5692 0.2371
0.0000 0.0000 0.0000
0.5000 0.5000 0.5000
```

Its energy of formation is 0.0443 eV/atom. Its spin magnetization is 0.000 μB per atom. For the total energy, the calculation gives -34.7 eV/cell.

Entry 9:
Computed, not measured: DyHoAg4 after structural relaxation at the PBE level of DFT.

POSCAR file:
```
DyHoAg4
1.0
-1.6807 4.3400 -3.2834
-5.5360 0.7583 -1.1041
-2.7866 4.4010 2.3036
Ag Ho Dy
4 1 1
Direct
0.6250 0.6250 0.1251
0.1251 0.6250 0.6250
0.6250 0.6250 0.6250
0.6250 0.1251 0.6250
0.2500 0.2500 0.2500
0.0000 0.0000 0.0000
```

Its energy of formation is -0.1721 eV/atom. The value obtained for the excess energy over the best structure of this formula in the dataset is 145 meV per atom. Its spin magnetization is 0.000 μB per atom. For the total energy, the calculation gives -21.6 eV/cell.

Entry 10:
Computed, not measured: Dy2Ho6Ag after structural relaxation at the PBE level of DFT.

POSCAR file:
```
Dy2Ho6Ag
1.0
-3.0311 -0.2140 -1.8026
2.5582 -9.2664 -3.2016
-3.1422 1.7199 8.5443
Ho Dy Ag
6 2 1
Direct
0.8181 0.6600 0.6361
0.5000 0.2671 0.0000
0.1819 0.0238 0.3639
0.5000 0.7329 0.0000
0.1819 0.3400 0.3639
0.8181 0.9762 0.6361
0.8612 0.3618 0.7237
0.1388 0.6382 0.2763
0.0000 0.0000 0.0000
```

Its energy of formation is 0.0542 eV/atom. Its spin magnetization is 0.000 μB per atom. For the total energy, the calculation gives -39.0 eV/cell.

Entry 11:
Computed, not measured: DyHo2Ag6 after structural relaxation at the PBE level of DFT.

POSCAR file:
```
DyHo2Ag6
1.0
-2.4873 -3.9706 2.4627
6.0374 -6.3496 -1.3735
4.8113 -0.1093 7.4494
Ag Ho Dy
12 4 2
Direct
0.1403 0.3479 0.0979
0.1932 0.9858 0.2369
0.6932 0.2369 0.9858
0.4731 0.6798 0.4315
0.8597 0.6521 0.9021
0.3597 0.9021 0.6521
0.0269 0.5685 0.3202
0.6403 0.0979 0.3479
0.9731 0.4315 0.6798
0.5269 0.3202 0.5685
0.8068 0.0142 0.7631
0.3068 0.7631 0.0142
0.9163 0.7917 0.5417
0.0837 0.2083 0.4583
0.4163 0.5417 0.7917
0.5837 0.4583 0.2083
0.2500 0.1253 0.8747
0.7500 0.8747 0.1253
```

Its energy of formation is -0.2120 eV/atom. Its spin magnetization is 0.000 μB per atom. For the total energy, the calculation gives -65.5 eV/cell.

Entry 12:
Computed, not measured: Dy5HoAg4 after structural relaxation at the PBE level of DFT.

POSCAR file:
```
Dy5HoAg4
1.0
-3.2243 1.5886 -0.2976
-1.6034 -3.2275 0.1433
-1.1059 1.4172 19.5446
Dy Ag Ho
5 4 1
Direct
0.5000 0.5000 0.1250
0.5000 0.5000 0.3118
0.5000 0.5000 0.5000
0.5000 0.5000 0.6882
0.5000 0.5000 0.8750
0.0000 0.0000 0.2185
0.0000 0.0000 0.4065
0.0000 0.0000 0.5935
0.0000 0.0000 0.7815
0.0000 0.0000 0.0000
```

Its energy of formation is -0.2475 eV/atom. Its spin magnetization is 0.000 μB per atom. For the total energy, the calculation gives -41.5 eV/cell.

Entry 13:
Computed, not measured: Dy4Ho3Ag after structural relaxation at the PBE level of DFT.

POSCAR file:
```
Dy4Ho3Ag
1.0
-2.8664 -1.8582 -0.9117
1.6730 -2.9969 0.8484
-6.5159 1.3710 17.6927
Dy Ho Ag
4 3 1
Direct
0.0000 0.0000 0.1018
0.0000 0.0000 0.8982
0.0000 0.0000 0.3675
0.0000 0.0000 0.6325
0.5000 0.5000 0.7639
0.5000 0.5000 0.5000
0.5000 0.5000 0.2361
0.5000 0.5000 0.0000
```

Its energy of formation is -0.0554 eV/atom. Its spin magnetization is 0.000 μB per atom. For the total energy, the calculation gives -35.4 eV/cell.

Entry 14:
Computed, not measured: Dy5Ho3Ag2 after structural relaxation at the PBE level of DFT.

POSCAR file:
```
Dy5Ho3Ag2
1.0
-5.9745 -1.7986 1.7898
-2.2638 -8.9948 -4.8251
0.8193 -8.6553 5.8074
Dy Ho Ag
10 6 4
Direct
0.0625 0.6875 0.6875
0.9375 0.3125 0.3125
0.4375 0.3125 0.3125
0.0531 0.6849 0.2089
0.2500 0.5000 0.5000
0.9469 0.3151 0.7911
0.7500 0.5000 0.5000
0.4469 0.7911 0.3151
0.5625 0.6875 0.6875
0.5531 0.2089 0.6849
0.6611 0.6356 0.0422
0.2500 0.0000 0.0000
0.8389 0.9578 0.3644
0.3389 0.3644 0.9578
0.7500 0.0000 0.0000
0.1611 0.0422 0.6356
0.8273 0.2500 0.0954
0.6727 0.9046 0.7500
0.1727 0.7500 0.9046
0.3273 0.0954 0.2500
```

Its energy of formation is 0.1179 eV/atom. Its spin magnetization is 0.000 μB per atom. For the total energy, the calculation gives -82.5 eV/cell.

Entry 15:
Computed, not measured: DyHo5Ag6 after structural relaxation at the PBE level of DFT.

POSCAR file:
```
DyHo5Ag6
1.0
-3.5751 2.5076 2.7253
-4.8776 -1.4381 -5.0752
-3.6323 -5.3033 4.9935
Ho Ag Dy
5 6 1
Direct
0.6668 0.0000 0.6663
0.0000 0.5000 0.0000
0.6664 0.5000 0.6671
0.3332 0.0000 0.3337
0.3336 0.5000 0.3329
0.1671 0.2508 0.6657
0.8328 0.2508 0.3343
0.4999 0.7494 0.0000
0.5001 0.2506 0.0000
0.8329 0.7492 0.3343
0.1672 0.7492 0.6657
0.0000 0.0000 0.0000
```

Its energy of formation is -0.3293 eV/atom. Its spin magnetization is 0.000 μB per atom. For the total energy, the calculation gives -48.5 eV/cell.

Entry 16:
Computed, not measured: Dy4Ho3Ag4 after structural relaxation at the PBE level of DFT.

POSCAR file:
```
Dy4Ho3Ag4
1.0
5.0460 0.0000 0.0000
0.0000 7.3920 0.0000
-2.5230 -3.6960 7.9259
Dy Ho Ag
4 3 4
Direct
0.6760 0.9011 0.3519
0.6760 0.4508 0.3519
0.3240 0.0989 0.6481
0.3240 0.5492 0.6481
0.1035 0.1035 0.2071
0.8965 0.8965 0.7929
0.0000 0.5000 0.0000
0.5000 0.1896 0.0000
0.5000 0.8104 0.0000
0.1917 0.6917 0.3834
0.8083 0.3083 0.6166
```

Its energy of formation is -0.0947 eV/atom. Its spin magnetization is 0.000 μB per atom. For the total energy, the calculation gives -44.6 eV/cell.

Entry 17:
Computed, not measured: Dy4HoAg after structural relaxation at the PBE level of DFT.

POSCAR file:
```
Dy4HoAg
1.0
5.4182 0.0000 0.0000
0.0000 6.4006 0.0000
-2.7091 0.0000 10.3568
Dy Ag Ho
8 2 2
Direct
0.7443 0.0880 0.4885
0.4648 0.8791 0.9295
0.6773 0.5727 0.3547
0.3227 0.0727 0.6453
0.5352 0.3791 0.0705
0.2557 0.5880 0.5115
0.9346 0.2108 0.8693
0.0654 0.7108 0.1307
0.3965 0.4694 0.7930
0.6035 0.9694 0.2070
0.8653 0.7133 0.7305
0.1347 0.2133 0.2695
```

Its energy of formation is 0.0449 eV/atom. The value obtained for the excess energy over the best structure of this formula in the dataset is 125 meV per atom. Its spin magnetization is 0.000 μB per atom. For the total energy, the calculation gives -51.1 eV/cell.

Entry 18:
Computed, not measured: Dy2Ho3Ag2 after structural relaxation at the PBE level of DFT.

POSCAR file:
```
Dy2Ho3Ag2
1.0
5.3266 0.0000 0.0000
-2.6633 4.5989 -0.3528
0.0000 -2.4778 7.8859
Ho Ag Dy
3 2 2
Direct
0.3391 0.6782 0.5173
0.6609 0.3218 0.4827
0.5000 0.0000 0.0000
0.2118 0.4236 0.1367
0.7882 0.5764 0.8633
0.0756 0.1512 0.7265
0.9244 0.8488 0.2735
```

Its energy of formation is -0.1104 eV/atom. Its spin magnetization is 0.000 μB per atom. For the total energy, the calculation gives -29.4 eV/cell.

Entry 19:
Computed, not measured: Dy3Ho2Ag3 after structural relaxation at the PBE level of DFT.

POSCAR file:
```
Dy3Ho2Ag3
1.0
3.6085 0.0000 -0.5812
-0.1976 5.1017 -1.2268
-0.0453 -0.0076 11.2127
Dy Ho Ag
3 2 3
Direct
0.3793 0.3793 0.7585
0.6207 0.6207 0.2415
0.5000 0.0000 0.0000
0.7316 0.2316 0.4633
0.2684 0.7684 0.5367
0.1175 0.1175 0.2349
0.8825 0.8825 0.7651
0.0000 0.5000 0.0000
```

Its energy of formation is -0.2228 eV/atom. Its spin magnetization is 0.000 μB per atom. For the total energy, the calculation gives -33.3 eV/cell.

Entry 20:
Computed, not measured: DyHoAg6 after structural relaxation at the PBE level of DFT.

POSCAR file:
```
DyHoAg6
1.0
-2.5524 1.6834 3.2539
-1.8820 -3.4667 3.3807
5.0257 1.3409 6.3120
Ag Dy Ho
6 1 1
Direct
0.7496 0.6265 0.8743
0.2508 0.8744 0.6240
0.5005 0.7485 0.2505
0.7492 0.1256 0.3760
0.2504 0.3735 0.1257
0.4995 0.2515 0.7495
0.0000 0.0000 0.0000
0.0000 0.5000 0.5000
```

Its energy of formation is -0.2146 eV/atom. Its spin magnetization is 0.000 μB per atom. For the total energy, the calculation gives -28.0 eV/cell.